A geometry-optimized CdReCl2 structure, computed with PBE.

Calculated values
DFT total energy	-3.356	eV per atom
formation energy from raw total energies	0.908	eV per atom
N(E_F)	2.3	states/eV/f.u.

abc: 3.1136 4.0857 6.3297
angles: 90.00 90.00 90.00
With the nearest neighbours (Å) after each atom.
Space group Pmmm (No. 47)
Inequivalent atoms, fractional coordinates:
Cd: 0.0000 0.0000 0.0000 (multiplicity 1)  8 Cl 3.09, 2 Cd 3.11, 2 Re 3.16
Re: 0.0000 0.0000 0.5000 (multiplicity 1)  8 Cl 2.95, 2 Re 3.11, 2 Cd 3.16
Cl: 0.5000 0.5000 0.2701 (multiplicity 2)  3 Cl 2.91-3.11, 4 Re 2.95, 4 Cd 3.09

---

A geometry-optimized TbPuTl structure, computed with PBE.

Calculated values
DFT total energy	-7.121	eV per atom
N(E_F)	8.8	states/eV/f.u.
energy of formation	-1	kJ per mole of atoms

abc: 10.8846 4.8111 7.0664
angles: 90.00 113.31 90.00
With the nearest neighbours (Å) after each atom.
Space group C2/m (No. 12)
Inequivalent atoms, fractional coordinates:
Tb: 0.0288 0.0000 0.2715 (multiplicity 4)  5 Tl 3.19-3.47, 5 Pu 3.46-3.55, 1 Tb 3.53
Pu: 0.1734 0.5000 0.0723 (multiplicity 4)  3 Tl 3.27-3.35, 3 Pu 3.31-3.50, 5 Tb 3.46-3.55
Tl: 0.1552 0.5000 0.5995 (multiplicity 4)  1 Tl 3.10, 5 Tb 3.19-3.47, 3 Pu 3.27-3.35

---

A geometry-optimized TbHoIrAu structure, computed with PBE.

Calculated values
DFT total energy	-6.163	eV per atom
N(E_F)	3.6	states/eV/f.u.
energy of formation	-80	kJ per mole of atoms

abc: 7.0243 7.0243 7.0243
angles: 90.00 90.00 90.00
With the nearest neighbours (Å) after each atom.
Space group F-43m (No. 216)
Inequivalent atoms, fractional coordinates:
Tb: 0.0000 0.0000 0.0000 (multiplicity 4)  4 Ir 3.04, 4 Au 3.04
Ho: 0.0000 0.0000 0.5000 (multiplicity 4)  4 Ir 3.04, 4 Au 3.04
Ir: 0.2500 0.2500 0.7500 (multiplicity 4)  4 Tb 3.04, 4 Ho 3.04
Au: 0.2500 0.2500 0.2500 (multiplicity 4)  4 Ho 3.04, 4 Tb 3.04

---

A geometry-optimized CsNaSe2Cl structure, computed with PBE.

Calculated values
DFT total energy	-2.188	eV per atom
formation energy from raw total energies	0.010	eV per atom
N(E_F)	10.2	states/eV/f.u.

abc: 5.8653 5.8653 6.3941
angles: 90.00 90.00 90.00
With the nearest neighbours (Å) after each atom.
Space group P4/mmm (No. 123)
Inequivalent atoms, fractional coordinates:
Cs: 0.0000 0.0000 0.0000 (multiplicity 1)  4 Se 2.93, 2 Cl 3.20
Na: 0.5000 0.5000 0.5000 (multiplicity 1)  4 Cl 4.15, 8 Se 4.34
Se: 0.0000 0.5000 0.0000 (multiplicity 2)  2 Cs 2.93
Cl: 0.0000 0.0000 0.5000 (multiplicity 1)  2 Cs 3.20

---

A geometry-optimized BaCuBi structure, computed with PBE.

Calculated values
DFT total energy	-3.422	eV per atom
N(E_F)	2.2	states/eV/f.u.
energy of formation	-12	kJ per mole of atoms

abc: 9.5156 6.4538 6.9708
angles: 90.00 111.28 90.00
With the nearest neighbours (Å) after each atom.
Space group C2/m (No. 12)
Inequivalent atoms, fractional coordinates:
Ba: 0.1353 0.0000 0.3078 (multiplicity 4)  3 Bi 3.45-3.52, 5 Cu 3.53-3.82
Cu: 0.2338 0.5000 0.1496 (multiplicity 4)  2 Bi 2.74
Bi: 0.0229 0.5000 0.7582 (multiplicity 4)  2 Cu 2.74

---

A geometry-optimized Ti2In2Cl7 structure, computed with PBE.

Calculated values
DFT total energy	-4.299	eV per atom
formation energy from raw total energies	-1.190	eV per atom
N(E_F)	0.9	states/eV/f.u.

abc: 7.4142 14.2110 7.0977
angles: 90.00 103.58 90.00
With the nearest neighbours (Å) after each atom.
Space group C2/m (No. 12)
Inequivalent atoms, fractional coordinates:
Ti: 0.1903 0.0000 0.0867 (multiplicity 4)  5 Cl 2.34-2.51
In: 0.0000 0.1987 0.5000 (multiplicity 4)  6 Cl 3.14-3.31
Cl: 0.0000 0.5000 0.0000 (multiplicity 2)  2 Ti 2.51
Cl: 0.0662 0.0000 0.7512 (multiplicity 4)  2 Ti 2.34-2.44
Cl: 0.2414 0.3478 0.7795 (multiplicity 8)  1 Ti 2.37

---

A geometry-optimized LiRuSeBr2 structure, computed with PBE.

Calculated values
DFT total energy	-3.833	eV per atom
formation energy from raw total energies	-0.229	eV per atom
N(E_F)	1.4	states/eV/f.u.

abc: 5.3796 5.3796 4.6093
angles: 90.00 90.00 90.00
With the nearest neighbours (Å) after each atom.
Space group P4/mmm (No. 123)
Inequivalent atoms, fractional coordinates:
Li: 0.0000 0.0000 0.0000 (multiplicity 1)  8 Br 3.54, 4 Se 3.80
Ru: 0.5000 0.5000 0.5000 (multiplicity 1)  2 Se 2.30
Se: 0.5000 0.5000 0.0000 (multiplicity 1)  2 Ru 2.30
Br: 0.0000 0.5000 0.5000 (multiplicity 2)  2 Ru 2.69

---

A geometry-optimized Sr6TlAu5 structure, computed with PBE.

Calculated values
DFT total energy	-3.067	eV per atom
N(E_F)	9.0	states/eV/f.u.
energy of formation	-64	kJ per mole of atoms

abc: 5.4864 7.7951 16.4188
angles: 90.00 90.00 90.00
With the nearest neighbours (Å) after each atom.
Space group Immm (No. 71)
Inequivalent atoms, fractional coordinates:
Sr: 0.0000 0.2410 0.0000 (multiplicity 4)  6 Au 3.32-3.33, 2 Tl 3.41
Sr: 0.0000 0.2538 0.3298 (multiplicity 8)  7 Au 3.32-3.39, 1 Tl 3.42
Tl: 0.0000 0.0000 0.5000 (multiplicity 2)  8 Sr 3.41-3.42, 4 Au 3.80
Au: 0.0000 0.0000 0.1678 (multiplicity 4)  8 Sr 3.32-3.35
Au: 0.0000 0.5000 0.1602 (multiplicity 4)  8 Sr 3.32-3.39
Au: 0.0000 0.5000 0.5000 (multiplicity 2)  8 Sr 3.32-3.39

---

A geometry-optimized H2OsPb structure, computed with PBE.

Calculated values
DFT total energy	-4.800	eV per atom
N(E_F)	1.0	states/eV/f.u.

abc: 4.1493 4.1493 11.6518
angles: 90.00 90.00 90.00
With the nearest neighbours (Å) after each atom.
Space group I4_1/amd (No. 141, origin choice 2)
Inequivalent atoms, fractional coordinates:
H: 0.0000 0.0000 0.0000 (multiplicity 8)  2 Os 1.79
Os: 0.0000 0.2500 0.8750 (multiplicity 4)  4 H 1.79
Pb: 0.0000 0.2500 0.3750 (multiplicity 4)  8 H 2.74, 4 Os 2.93

---

A geometry-optimized Fe2AgW structure, computed with PBE.

Calculated values
DFT total energy	-7.547	eV per atom
N(E_F)	3.3	states/eV/f.u.
energy of formation	61	kJ per mole of atoms

abc: 2.8496 4.4124 4.6472
angles: 90.00 90.00 90.00
With the nearest neighbours (Å) after each atom.
Space group Pmmm (No. 47)
Inequivalent atoms, fractional coordinates:
Fe: 0.0000 0.0000 0.0000 (multiplicity 1)  4 W 2.63, 6 Fe 2.73-2.85
Fe: 0.5000 0.0000 0.5000 (multiplicity 1)  4 Ag 2.63, 6 Fe 2.73-2.85
Ag: 0.0000 0.5000 0.5000 (multiplicity 1)  4 Fe 2.63, 4 W 2.73, 2 Ag 2.85
W: 0.5000 0.5000 0.0000 (multiplicity 1)  4 Fe 2.63, 4 Ag 2.73, 2 W 2.85

---

A geometry-optimized SrY2SiAu structure, computed with PBE.

Calculated values
DFT total energy	-4.555	eV per atom
formation energy from raw total energies	0.107	eV per atom
N(E_F)	6.3	states/eV/f.u.

abc: 5.4884 5.4884 5.7332
angles: 90.00 90.00 90.00
With the nearest neighbours (Å) after each atom.
Space group P4/mmm (No. 123)
Inequivalent atoms, fractional coordinates:
Sr: 0.0000 0.0000 0.0000 (multiplicity 1)  2 Au 2.87
Y: 0.0000 0.5000 0.5000 (multiplicity 2)  2 Au 2.74
Si: 0.5000 0.5000 0.0000 (multiplicity 1)  4 Sr 3.88, 8 Y 3.97
Au: 0.0000 0.0000 0.5000 (multiplicity 1)  4 Y 2.74, 2 Sr 2.87

---

A geometry-optimized LiLaIF2 structure, computed with PBE.

Calculated values
DFT total energy	-4.793	eV per atom
formation energy from raw total energies	-2.366	eV per atom
N(E_F)	3.3	states/eV/f.u.

abc: 4.6150 4.6150 6.9445
angles: 90.00 90.00 90.00
With the nearest neighbours (Å) after each atom.
Space group P4/mmm (No. 123)
Inequivalent atoms, fractional coordinates:
Li: 0.0000 0.0000 0.0000 (multiplicity 1)  4 I 3.26
La: 0.5000 0.5000 0.5000 (multiplicity 1)  4 F 2.31
I: 0.5000 0.5000 0.0000 (multiplicity 1)  4 Li 3.26, 2 La 3.47
F: 0.0000 0.5000 0.5000 (multiplicity 2)  2 La 2.31

---

A geometry-optimized Pm8Ag2Ru structure, computed with PBE.

Calculated values
DFT total energy	-4.944	eV per atom
N(E_F)	12.2	states/eV/f.u.
energy of formation	-12	kJ per mole of atoms

abc: 17.7812 5.3316 7.0370
angles: 90.00 106.61 90.00
With the nearest neighbours (Å) after each atom.
Space group C2/m (No. 12)
Inequivalent atoms, fractional coordinates:
Pm: 0.0253 0.0000 0.2910 (multiplicity 4)  1 Ag 3.00, 2 Ru 3.14, 1 Pm 3.31
Pm: 0.0892 0.5000 0.9357 (multiplicity 4)  1 Ru 3.02
Pm: 0.1579 0.5000 0.4721 (multiplicity 4)  1 Ru 2.87, 1 Ag 3.03
Pm: 0.2002 0.0000 0.8094 (multiplicity 4)  1 Ag 2.98
Ag: 0.1838 0.0000 0.2186 (multiplicity 4)  5 Pm 2.98-3.31
Ru: 0.0000 0.5000 0.5000 (multiplicity 2)  8 Pm 2.87-3.14

---

A geometry-optimized Sc2MnP structure, computed with PBE.

Calculated values
DFT total energy	-6.700	eV per atom
N(E_F)	0.6	states/eV/f.u.
energy of formation	11	kJ per mole of atoms

abc: 3.4132 3.4132 23.5692
angles: 90.00 90.00 120.00
With the nearest neighbours (Å) after each atom.
Space group R-3m (No. 166, hexagonal axes)
Inequivalent atoms, fractional coordinates:
Sc: 0.0000 0.0000 0.0979 (multiplicity 6)  1 Mn 2.31, 3 P 2.55
Mn: 0.0000 0.0000 0.0000 (multiplicity 3)  2 Sc 2.31
P: 0.0000 0.0000 0.5000 (multiplicity 3)  6 Sc 2.55

---

A geometry-optimized Th8TlTe4Os3 structure, computed with PBE.

Calculated values
DFT total energy	-7.480	eV per atom
formation energy from raw total energies	-0.731	eV per atom
N(E_F)	11.6	states/eV/f.u.

abc: 8.5757 8.5757 22.9636
angles: 90.00 90.00 120.00
With the nearest neighbours (Å) after each atom.
Space group R-3m (No. 166, hexagonal axes)
Inequivalent atoms, fractional coordinates:
Th: 0.0000 0.0000 0.2345 (multiplicity 6)  3 Os 2.93
Th: 0.0248 0.5124 0.7647 (multiplicity 18)  2 Os 2.86, 1 Tl 3.09
Tl: 0.0000 0.0000 0.5000 (multiplicity 3)  6 Th 3.09
Te: 0.0000 0.0000 0.0000 (multiplicity 3)  6 Th 3.21
Te: 0.0000 0.5000 0.0000 (multiplicity 9)  6 Th 3.36-3.42
Os: 0.0000 0.5000 0.5000 (multiplicity 9)  6 Th 2.86-2.93

---

Number 1: magnetization 3.2 μB per formula unit. Number 2: magnetization 6.3 μB per formula unit. Number 3: magnetization 0.0 μB per formula unit. Number 4: magnetization 0.3 μB per formula unit. Number 5: magnetization 0.0 μB per formula unit. Number 6: magnetization 1.0 μB per formula unit. Number 7: magnetization 0.0 μB per formula unit. Number 8: magnetization 0.0 μB per formula unit. Number 9: magnetization 0.0 μB per formula unit. Number 10: magnetization 4.7 μB per formula unit. Number 11: magnetization 0.0 μB per formula unit. Number 12: magnetization 0.7 μB per formula unit. Number 13: magnetization 0.0 μB per formula unit. Number 14: magnetization 0.0 μB per formula unit. Number 15: magnetization 0.0 μB per formula unit.